# HgBi3Pb3 (GGA-PBE, relaxed)
# Excess energy over the best structure of this formula in the dataset: 55 meV per atom
# DOS at the Fermi energy: 12.74 states/eV/cell
# Formation enthalpy at 0 K: 0.10 eV per atom
# Uncorrected energy: -67.03 eV for the cell shown
# Total magnetic moment: 0.00 μB per cell
data_HgBi3Pb3
_symmetry_space_group_name_H-M 'R 3 m'
_symmetry_Int_Tables_number 160
_symmetry_space_group_name_Hall 'R 3 -2"'
_cell_length_a 10.2395
_cell_length_b 10.2395
_cell_length_c 7.6037
_cell_angle_alpha 90.00
_cell_angle_beta 90.00
_cell_angle_gamma 120.00
loop_
_atom_site_label
_atom_site_fract_x
_atom_site_fract_y
_atom_site_fract_z
_atom_site_occupancy
Hg1 0.0000 0.0000 0.0000 1
Bi1 0.0176 0.5088 0.4904 1
Pb1 0.1052 0.5526 0.0679 1


# Ti6BeTe2 (GGA-PBE, relaxed)
# DOS at the Fermi energy: 5.04 states/eV/cell
# Energy relative to the elements, uncorrected: -0.404 eV per atom
# Uncorrected energy: -61.01 eV for the cell shown
# Total magnetic moment: 0.00 μB per cell
data_Ti6BeTe2
_symmetry_space_group_name_H-M 'P -6 2 m'
_symmetry_Int_Tables_number 189
_symmetry_space_group_name_Hall 'P -6 -2'
_cell_length_a 7.0455
_cell_length_b 7.0455
_cell_length_c 3.6423
_cell_angle_alpha 90.00
_cell_angle_beta 90.00
_cell_angle_gamma 120.00
loop_
_atom_site_label
_atom_site_fract_x
_atom_site_fract_y
_atom_site_fract_z
_atom_site_occupancy
Ti1 0.0000 0.3871 0.0000 1
Ti2 0.0000 0.7728 0.5000 1
Be1 0.0000 0.0000 0.0000 1
Te1 0.3333 0.6667 0.5000 1


# CdIn2Br (GGA-PBE, relaxed)
# Excess energy over the best structure of this formula in the dataset: 64 meV per atom
# DOS at the Fermi energy: 2.02 states/eV/cell
# Energy relative to the elements, uncorrected: -0.147 eV per atom
# Uncorrected energy: -17.30 eV for the cell shown
# Total magnetic moment: 0.00 μB per cell
data_CdIn2Br
_symmetry_space_group_name_H-M 'C m m 2'
_symmetry_Int_Tables_number 35
_cell_length_a 4.257
_cell_length_b 5.801
_cell_length_c 9.208
_cell_angle_alpha 90.00
_cell_angle_beta 90.00
_cell_angle_gamma 90.00
loop_
_symmetry_equiv_pos_as_xyz
'x,y,z'
'-x,-y,z'
'-x,y,z'
'x,-y,z'
'x+1/2,y+1/2,z'
'-x+1/2,-y+1/2,z'
'-x+1/2,y+1/2,z'
'x+1/2,-y+1/2,z'
loop_
_atom_site_label
_atom_site_fract_x
_atom_site_fract_y
_atom_site_fract_z
_atom_site_occupancy
Cd1 0.000 0.000 0.000 1
In1 0.000 0.000 0.512 1
In2 0.000 0.500 0.239 1
Br1 0.000 0.500 0.777 1


# Pa3MnFe8 (GGA-PBE, relaxed)
# DOS at the Fermi energy: 44.84 states/eV/cell
# Formation enthalpy at 0 K: -0.09 eV per atom
# Uncorrected energy: -319.34 eV for the cell shown
# Total magnetic moment: 18.91 μB per cell
data_Pa3MnFe8
_symmetry_space_group_name_H-M 'R 3 m'
_symmetry_Int_Tables_number 160
_symmetry_space_group_name_Hall 'R 3 -2"'
_cell_length_a 4.9505
_cell_length_b 4.9505
_cell_length_c 24.4500
_cell_angle_alpha 90.00
_cell_angle_beta 90.00
_cell_angle_gamma 120.00
loop_
_atom_site_label
_atom_site_fract_x
_atom_site_fract_y
_atom_site_fract_z
_atom_site_occupancy
Pa1 0.0000 0.0000 0.0000 1
Pa2 0.0000 0.0000 0.1299 1
Pa3 0.0000 0.0000 0.5051 1
Mn1 0.0000 0.0000 0.6282 1
Fe1 0.0000 0.0000 0.3152 1
Fe2 0.0000 0.0000 0.8156 1
Fe3 0.0039 0.5020 0.5695 1
Fe4 0.1683 0.3366 0.3958 1


# Ac4AgN (GGA-PBE, relaxed)
# Excess energy over the best structure of this formula in the dataset: 0 meV per atom
# DOS at the Fermi energy: 10.99 states/eV/cell
# Energy relative to the elements, uncorrected: -0.399 eV per atom
# Uncorrected energy: -60.01 eV for the cell shown
# Total magnetic moment: 0.00 μB per cell
data_Ac4AgN
_symmetry_space_group_name_H-M 'P m n 21'
_symmetry_Int_Tables_number 31
_cell_length_a 9.986
_cell_length_b 7.384
_cell_length_c 5.832
_cell_angle_alpha 90.00
_cell_angle_beta 90.00
_cell_angle_gamma 90.00
loop_
_symmetry_equiv_pos_as_xyz
'x,y,z'
'-x+1/2,-y,z+1/2'
'-x,y,z'
'x+1/2,-y,z+1/2'
loop_
_atom_site_label
_atom_site_fract_x
_atom_site_fract_y
_atom_site_fract_z
_atom_site_occupancy
Ac1 0.000 0.110 0.000 1
Ac2 0.000 0.790 0.508 1
Ac3 0.203 0.295 0.509 1
Ag1 0.000 0.539 0.018 1
N1 0.000 0.117 0.565 1


# Tb2Y2Ga4Ni (GGA-PBE, relaxed)
# DOS at the Fermi energy: 15.38 states/eV/cell
# Formation enthalpy at 0 K: -0.43 eV per atom
# Uncorrected energy: -87.87 eV for the cell shown
# Total magnetic moment: 0.00 μB per cell
data_Tb2Y2Ga4Ni
_symmetry_space_group_name_H-M 'I 4/m m m'
_symmetry_Int_Tables_number 139
_symmetry_space_group_name_Hall '-I 4 2'
_cell_length_a 7.004
_cell_length_b 7.004
_cell_length_c 8.259
_cell_angle_alpha 90.00
_cell_angle_beta 90.00
_cell_angle_gamma 90.00
loop_
_atom_site_label
_atom_site_fract_x
_atom_site_fract_y
_atom_site_fract_z
_atom_site_occupancy
Tb1 0.000 0.000 0.192 1
Y1 0.000 0.500 0.250 1
Ga1 0.237 0.237 0.500 1
Ni1 0.000 0.000 0.500 1


# Pr3InPb3 (GGA-PBE, relaxed)
# DOS at the Fermi energy: 12.07 states/eV/cell
# Formation enthalpy at 0 K: -0.35 eV per atom
# Uncorrected energy: -61.27 eV for the cell shown
# Total magnetic moment: 0.00 μB per cell
data_Pr3InPb3
_symmetry_space_group_name_H-M 'P 63/m'
_symmetry_Int_Tables_number 176
_symmetry_space_group_name_Hall '-P 6c'
_cell_length_a 9.1807
_cell_length_b 9.1807
_cell_length_c 5.9642
_cell_angle_alpha 90.00
_cell_angle_beta 90.00
_cell_angle_gamma 120.00
loop_
_atom_site_label
_atom_site_fract_x
_atom_site_fract_y
_atom_site_fract_z
_atom_site_occupancy
Pr1 0.0909 0.6426 0.2500 1
In1 0.3333 0.6667 0.7500 1
Pb1 0.0590 0.8004 0.7500 1


# TbHo2Tl (GGA-PBE, relaxed)
# Excess energy over the best structure of this formula in the dataset: 12 meV per atom
# DOS at the Fermi energy: 4.50 states/eV/cell
# Formation enthalpy at 0 K: -0.17 eV per atom
# Uncorrected energy: -16.81 eV for the cell shown
# Total magnetic moment: 0.00 μB per cell
data_TbHo2Tl
_symmetry_space_group_name_H-M 'P 4/m m m'
_symmetry_Int_Tables_number 123
_symmetry_space_group_name_Hall '-P 4 2'
_cell_length_a 3.612
_cell_length_b 3.612
_cell_length_c 9.092
_cell_angle_alpha 90.00
_cell_angle_beta 90.00
_cell_angle_gamma 90.00
loop_
_atom_site_label
_atom_site_fract_x
_atom_site_fract_y
_atom_site_fract_z
_atom_site_occupancy
Tb1 0.000 0.000 0.000 1
Ho1 0.500 0.500 0.271 1
Tl1 0.000 0.000 0.500 1